# 1
Below is a relaxed NdZr2TiO8 crystal, with properties calculated at the GGA-PBE level. Values from VASP.

Structure (Quantum ESPRESSO input):
```
&SYSTEM
  ibrav = 0, nat = 12, ntyp = 4
/
ATOMIC_SPECIES
Nd 144.24 Nd.upf
Zr 91.22 Zr.upf
Ti 47.87 Ti.upf
O 16.00 O.upf
CELL_PARAMETERS angstrom
3.442 -3.570 0.000
3.442 3.570 0.000
0.000 0.000 6.681
ATOMIC_POSITIONS crystal
Nd 0.000 0.000 0.000
Zr 0.500 0.500 0.252
Zr 0.500 0.500 0.748
Ti 0.000 0.000 0.500
O 0.198 0.198 0.290
O 0.198 0.198 0.710
O 0.293 0.707 0.500
O 0.323 0.677 0.000
O 0.677 0.323 0.000
O 0.707 0.293 0.500
O 0.802 0.802 0.290
O 0.802 0.802 0.710
```

## Properties
symmetry = No. 65
M_tot = 1.01 μB/cell
DFT total energy = -8.7762 eV/atom



# 2
Below is a relaxed Nd4Tl2O crystal, with properties calculated at the GGA-PBE level. Values from VASP.

Structure (Quantum ESPRESSO input):
```
&SYSTEM
  ibrav = 0, nat = 7, ntyp = 3
/
ATOMIC_SPECIES
Nd 144.24 Nd.upf
Tl 204.38 Tl.upf
O 16.00 O.upf
CELL_PARAMETERS angstrom
2.563 -11.926 0.000
2.563 11.926 0.000
0.000 0.000 3.589
ATOMIC_POSITIONS crystal
Nd 0.069 0.931 0.000
Nd 0.201 0.799 0.500
Nd 0.799 0.201 0.500
Nd 0.931 0.069 0.000
Tl 0.342 0.658 0.000
Tl 0.658 0.342 0.000
O 0.000 0.000 0.500
```

## Properties
symmetry = No. 65
M_tot = 0.00 μB/cell
energy above the lowest structure with this stoichiometry = 251.7 meV per atom
DFT total energy = -4.8549 eV/atom



# 3
Below is a relaxed NdTlO3 crystal, with properties calculated at the GGA-PBE level. Values from VASP.

Structure (Quantum ESPRESSO input):
```
&SYSTEM
  ibrav = 0, nat = 10, ntyp = 3
/
ATOMIC_SPECIES
Nd 144.24 Nd.upf
Tl 204.38 Tl.upf
O 16.00 O.upf
CELL_PARAMETERS angstrom
3.459 0.000 0.000
0.000 5.734 0.000
0.000 0.000 7.254
ATOMIC_POSITIONS crystal
Nd 0.250 0.250 0.146
Nd 0.750 0.750 0.854
Tl 0.250 0.750 0.393
Tl 0.750 0.250 0.607
O 0.250 0.520 0.667
O 0.250 0.750 0.062
O 0.250 0.980 0.667
O 0.750 0.020 0.333
O 0.750 0.250 0.938
O 0.750 0.480 0.333
```

## Properties
symmetry = No. 59
M_tot = 0.00 μB/cell
DFT total energy = -6.2845 eV/atom



# 4
Below is a relaxed Nd12Tl6O crystal, with properties calculated at the GGA-PBE level. Values from VASP.

Structure (Quantum ESPRESSO input):
```
&SYSTEM
  ibrav = 0, nat = 19, ntyp = 3
/
ATOMIC_SPECIES
Nd 144.24 Nd.upf
Tl 204.38 Tl.upf
O 16.00 O.upf
CELL_PARAMETERS angstrom
6.239 3.602 4.475
-6.239 3.602 4.475
0.000 -7.204 4.475
ATOMIC_POSITIONS crystal
Nd 0.030 0.694 0.917
Nd 0.083 0.970 0.306
Nd 0.209 0.536 0.423
Nd 0.306 0.083 0.970
Nd 0.423 0.209 0.536
Nd 0.464 0.577 0.791
Nd 0.536 0.423 0.209
Nd 0.577 0.791 0.464
Nd 0.694 0.917 0.030
Nd 0.791 0.464 0.577
Nd 0.917 0.030 0.694
Nd 0.970 0.306 0.083
Tl 0.138 0.353 0.745
Tl 0.255 0.862 0.647
Tl 0.353 0.745 0.138
Tl 0.647 0.255 0.862
Tl 0.745 0.138 0.353
Tl 0.862 0.647 0.255
O 0.500 0.500 0.500
```

## Properties
symmetry = No. 148
M_tot = 0.00 μB/cell
DFT total energy = -4.4622 eV/atom



| no. | theoretical density (g/cm3) | calculated volume (Å³/cell) | E_form (uncorrected) (meV per atom) |
| --- | --- | --- | --- |
| 1 | 5.08 | 164 | -2991 |
| 2 | 7.58 | 219 | -746 |
| 3 | 9.16 | 144 | -1883 |
| 4 | 8.18 | 603 | -443 |